1.
The following is a GGA-PBE calculation of a geometry-optimized TbCeCo structure, from Alexandria.

Lattice parameters (Å, degrees): 7.376 7.376 7.376 60.00 60.00 60.00
Element x y z (fractional)
Co 0.467 0.844 0.844
Co 0.844 0.844 0.844
Co 0.844 0.467 0.844
Co 0.844 0.844 0.467
Ce 0.607 0.178 0.607
Ce 0.178 0.607 0.607
Ce 0.607 0.607 0.178
Ce 0.607 0.607 0.607
Tb 0.641 0.120 0.120
Tb 0.120 0.641 0.120
Tb 0.120 0.120 0.120
Tb 0.120 0.120 0.641

Computed properties:
Energy ... -72.155 eV per cell

2.
The following is a GGA-PBE calculation of a geometry-optimized NdSm4Ho2Tm structure, from Alexandria.

Lattice parameters (Å, degrees): 3.599 6.211 11.883 79.88 90.00 90.00
Element x y z (fractional)
Nd 0.500 0.500 0.000
Sm 0.000 0.751 0.747
Sm 0.000 0.249 0.253
Sm 0.500 0.750 0.252
Sm 0.500 0.250 0.748
Ho 0.000 0.000 0.000
Ho 0.500 0.000 0.500
Tm 0.000 0.500 0.500

Computed properties:
Energy ... -37.119 eV per cell

3.
The following is a GGA-PBE calculation of a geometry-optimized TaAl2Ag structure, from Alexandria.

Lattice parameters (Å, degrees): 4.592 4.592 4.592 60.00 60.00 60.00
Element x y z (fractional)
Al 0.000 0.000 0.000
Al 0.250 0.250 0.250
Ag 0.500 0.500 0.500
Ta 0.750 0.750 0.750

Computed properties:
Energy ... -20.870 eV per cell

4.
The following is a GGA-PBE calculation of a geometry-optimized LaZnBr structure, from Alexandria.

Lattice parameters (Å, degrees): 5.087 5.087 5.087 60.00 60.00 60.00
Element x y z (fractional)
Br 0.500 0.500 0.500
La 0.750 0.750 0.750
Zn 0.000 0.000 0.000

Computed properties:
Energy ... -9.318 eV per cell
Uncorrected formation energy ... -481 meV/atom

5.
The following is a GGA-PBE calculation of a geometry-optimized Th4In2H structure, from Alexandria.

Lattice parameters (Å, degrees): 4.732 4.732 9.205 75.10 75.10 90.00
Element x y z (fractional)
H 0.000 0.000 0.000
Th 0.825 0.825 0.349
Th 0.175 0.175 0.651
Th 0.000 0.500 0.000
Th 0.500 0.000 0.000
In 0.639 0.639 0.722
In 0.361 0.361 0.278

Computed properties:
Energy ... -39.571 eV per cell